# In4HgPd GGA-PBE optimized geometry
data_In4HgPd
_chemical_formula_sum 'In8 Hg2 Pd2'
_symmetry_space_group_name_H-M 'P 1'
_symmetry_Int_Tables_number 1
_cell_length_a 5.877
_cell_length_b 6.949
_cell_length_c 6.948
_cell_angle_alpha 90.28
_cell_angle_beta 92.33
_cell_angle_gamma 92.36
loop_
_symmetry_equiv_pos_as_xyz
'x,y,z'
loop_
_atom_site_label
_atom_site_fract_x
_atom_site_fract_y
_atom_site_fract_z
_atom_site_occupancy
Pd1 0.750 0.000 0.000 1
Hg1 0.750 0.524 0.476 1
In1 0.980 0.127 0.673 1
In2 0.970 0.671 0.867 1
In3 0.470 0.867 0.671 1
In4 0.020 0.873 0.327 1
In5 0.479 0.673 0.127 1
In6 0.030 0.329 0.133 1
Hg2 0.250 0.476 0.524 1
In7 0.530 0.133 0.329 1
In8 0.521 0.327 0.873 1
Pd2 0.250 0.000 0.000 1
# - energy of formation (meV per atom) = -166
# - space-group type = No. 15
# - total energy (eV/cell) = -34.889